VASP calculation (PBE) on crystalline BaCeS2 at its relaxed geometry.

Calculated values
ΔE to the lowest computed polymorph, meV per atom: 0
Uncorrected formation energy, eV/atom: -1.98

The structure in CIF format:
```
data_BaCeS2
_symmetry_space_group_name_H-M 'R -3 m'
_symmetry_Int_Tables_number 166
_symmetry_space_group_name_Hall '-R 3 2"'
_cell_length_a 4.2280
_cell_length_b 4.2280
_cell_length_c 21.5637
_cell_angle_alpha 90.00
_cell_angle_beta 90.00
_cell_angle_gamma 120.00
loop_
_atom_site_label
_atom_site_fract_x
_atom_site_fract_y
_atom_site_fract_z
Ba1 0.0000 0.0000 0.0000
Ce1 0.0000 0.0000 0.5000
S1 0.0000 0.0000 0.2395
```